Entry 1:
An optimized crystal structure of Mn3Tc4, computed with PBE.

Lattice parameters (Å, degrees): 4.654 4.654 4.852 90.00 90.00 120.00
Sites, in units of the cell vectors:
Mn  0.000  0.500  0.000
Mn  0.500  0.000  0.000
Mn  0.500  0.500  0.000
Tc  0.000  0.000  0.257
Tc  0.000  0.000  0.743
Tc  0.333  0.667  0.500
Tc  0.667  0.333  0.500

Output
The calculation puts the final energy at -69.0 eV/cell.


Entry 2:
An optimized crystal structure of MnTc, computed with PBE.

Lattice parameters (Å, degrees): 2.667 2.667 12.748 90.00 90.00 120.00
Sites, in units of the cell vectors:
Mn  0.000  0.000  0.000
Mn  0.333  0.667  0.667
Mn  0.667  0.333  0.333
Tc  0.000  0.000  0.500
Tc  0.333  0.667  0.167
Tc  0.667  0.333  0.833

Output
The calculation puts the final energy at -57.6 eV/cell.


Entry 3:
An optimized crystal structure of MnTc3, computed with PBE.

Lattice parameters (Å, degrees): 8.928 2.705 4.685 90.00 100.13 90.00
Sites, in units of the cell vectors:
Mn  0.000  0.000  0.000
Mn  0.500  0.500  0.000
Tc  0.000  0.500  0.500
Tc  0.245  0.500  0.244
Tc  0.255  0.000  0.756
Tc  0.500  0.000  0.500
Tc  0.745  0.000  0.244
Tc  0.755  0.500  0.756

Output
The calculation puts the final energy at -79.6 eV/cell.


Entry 4:
An optimized crystal structure of MnTc3, computed with PBE.

Lattice parameters (Å, degrees): 2.724 4.323 4.693 90.00 90.00 90.00
Sites, in units of the cell vectors:
Mn  0.000  0.000  0.000
Tc  0.000  0.500  0.333
Tc  0.500  0.000  0.506
Tc  0.500  0.500  0.846

Output
The calculation puts the final energy at -40.0 eV/cell.


Entry 5:
An optimized crystal structure of Mn3Tc2, computed with PBE.

Lattice parameters (Å, degrees): 6.575 4.948 7.555 59.16 40.25 80.59
Sites, in units of the cell vectors:
Mn  0.000  0.000  0.000
Mn  0.250  0.250  0.250
Mn  0.421  0.504  0.384
Mn  0.504  0.421  0.691
Mn  0.559  0.866  0.746
Mn  0.866  0.559  0.829
Tc  0.088  0.765  0.305
Tc  0.408  0.945  0.485
Tc  0.765  0.088  0.842
Tc  0.945  0.408  0.162

Output
The calculation puts the final energy at -95.4 eV/cell.


Entry 6:
An optimized crystal structure of MnTc, computed with PBE.

Lattice parameters (Å, degrees): 7.140 7.140 4.265 90.00 90.00 90.00
Sites, in units of the cell vectors:
Mn  0.069  0.231  0.000
Mn  0.069  0.769  0.500
Mn  0.231  0.069  0.500
Mn  0.231  0.931  0.000
Mn  0.769  0.069  0.000
Mn  0.769  0.931  0.500
Mn  0.931  0.231  0.500
Mn  0.931  0.769  0.000
Tc  0.231  0.413  0.500
Tc  0.231  0.587  0.000
Tc  0.413  0.231  0.000
Tc  0.413  0.769  0.500
Tc  0.587  0.231  0.500
Tc  0.587  0.769  0.000
Tc  0.769  0.413  0.000
Tc  0.769  0.587  0.500

Output
The calculation puts the final energy at -150.6 eV/cell.